Record 1
KNd2Sm | GGA-PBE | relaxed

N(E_F): 4.709 states/eV/f.u.
Raw total energy: -3.645 eV/atom
Space group: No. 166
ΔE_f: 0.19 eV per atom

a = 3.680 Å, b = 3.680 Å, c = 13.665 Å
α = 82.26°, β = 82.26°, γ = 60.00°
Atoms (fractional coordinates):
K 0.000 0.000 0.000
Nd 0.095 0.095 0.715
Nd 0.905 0.905 0.285
Sm 0.500 0.500 0.500



Record 2
NbV3Br | GGA-PBE | relaxed

N(E_F): 6.116 states/eV/f.u.
Raw formation energy: 1597 meV/atom
Raw total energy: -6.223 eV/atom
Space group: No. 221

a = 4.720 Å, b = 4.720 Å, c = 4.720 Å
α = 90.00°, β = 90.00°, γ = 90.00°
Atoms (fractional coordinates):
Nb 0.000 0.000 0.000
Br 0.500 0.500 0.500
V 0.000 0.500 0.000
V 0.000 0.000 0.500
V 0.500 0.000 0.000



Record 3
RbBaAl2Pd | GGA-PBE | relaxed

N(E_F): 3.992 states/eV/f.u.
Raw total energy: -2.191 eV/atom
Space group: No. 123
ΔE_f: 0.92 eV per atom

a = 5.904 Å, b = 5.460 Å, c = 5.904 Å
α = 90.00°, β = 90.00°, γ = 90.00°
Atoms (fractional coordinates):
Rb 0.000 0.000 0.000
Ba 0.500 0.500 0.500
Pd 0.000 0.500 0.000
Al 0.000 0.000 0.500
Al 0.500 0.000 0.000